Crystalline TbNdMg6 at its relaxed geometry, computed with PBE-GGA.

Unit cell a=5.211 b=6.763 c=11.700 alpha=90.00 beta=90.00 gamma=90.00
Space group Amm2 (No. 38)
Inequivalent atoms, fractional coordinates:
Tb  0.000  0.000  0.000 [2 per cell]
Nd  0.500  0.000  0.332 [2 per cell]
Mg  0.000  0.000  0.504 [2 per cell]
Mg  0.000  0.242  0.747 [4 per cell]
Mg  0.500  0.000  0.830 [2 per cell]
Mg  0.500  0.245  0.584 [4 per cell]

Output
Raw total energy (eV per atom): -2.4567
Calculated volume (Å³/atom): 25.8
N(E_F) (states/eV/cell): 16.8
ΔH_f (0 K) (eV/atom): -0.086
Size of the total moment (μB per atom): 0.000